# 1
# PBE HoMgIn, relaxed
data_HoMgIn
_space_group_name_H-M_alt 'P -6 2 m'
_space_group_IT_number 189
_space_group_name_Hall 'P -6 -2'
_cell_length_a 8.3970
_cell_length_b 8.3970
_cell_length_c 3.8042
_cell_angle_alpha 90.00
_cell_angle_beta 90.00
_cell_angle_gamma 120.00
loop_
_atom_site_label
_atom_site_type_symbol
_atom_site_fract_x
_atom_site_fract_y
_atom_site_fract_z
_atom_site_occupancy
Ho1 Ho 0.0000 0.2808 0.0000 1
Mg1 Mg 0.0000 0.6096 0.5000 1
In1 In 0.0000 0.0000 0.5000 1
In2 In 0.3333 0.6667 0.0000 1
# - Total moment: 0.04 μB per formula unit
# - DFT total energy: -3.13 eV/atom

---

# 2
# PBE Nd2HoMg3In3, relaxed
data_Nd2HoMg3In3
_space_group_name_H-M_alt 'A m m 2'
_space_group_IT_number 38
_space_group_name_Hall 'A 2 -2'
_cell_length_a 4.735
_cell_length_b 13.108
_cell_length_c 7.687
_cell_angle_alpha 90.00
_cell_angle_beta 90.00
_cell_angle_gamma 90.00
loop_
_atom_site_label
_atom_site_type_symbol
_atom_site_fract_x
_atom_site_fract_y
_atom_site_fract_z
_atom_site_occupancy
Nd1 Nd 0.000 0.216 0.000 1
Ho1 Ho 0.000 0.000 0.649 1
Mg1 Mg 0.500 0.000 0.978 1
Mg2 Mg 0.500 0.121 0.338 1
In1 In 0.000 0.000 0.225 1
In2 In 0.500 0.163 0.716 1
# - Total moment: 0.00 μB per formula unit
# - DFT total energy: -3.40 eV/atom

---

# 3
# PBE NdHo2Mg4In2, relaxed
data_NdHo2Mg4In2
_space_group_name_H-M_alt 'A m m 2'
_space_group_IT_number 38
_space_group_name_Hall 'A 2 -2'
_cell_length_a 4.701
_cell_length_b 13.300
_cell_length_c 7.537
_cell_angle_alpha 90.00
_cell_angle_beta 90.00
_cell_angle_gamma 90.00
loop_
_atom_site_label
_atom_site_type_symbol
_atom_site_fract_x
_atom_site_fract_y
_atom_site_fract_z
_atom_site_occupancy
Nd1 Nd 0.000 0.000 0.000 1
Ho1 Ho 0.000 0.218 0.648 1
Mg1 Mg 0.000 0.000 0.441 1
Mg2 Mg 0.500 0.000 0.677 1
Mg3 Mg 0.500 0.121 0.312 1
In1 In 0.500 0.170 0.929 1
# - Total moment: 0.01 μB per formula unit
# - DFT total energy: -3.13 eV/atom

---

# 4
# PBE Nd2HoMg3ZnIn2, relaxed
data_Nd2HoMg3ZnIn2
_space_group_name_H-M_alt 'A m m 2'
_space_group_IT_number 38
_space_group_name_Hall 'A 2 -2'
_cell_length_a 4.656
_cell_length_b 12.983
_cell_length_c 7.635
_cell_angle_alpha 90.00
_cell_angle_beta 90.00
_cell_angle_gamma 90.00
loop_
_atom_site_label
_atom_site_type_symbol
_atom_site_fract_x
_atom_site_fract_y
_atom_site_fract_z
_atom_site_occupancy
Nd1 Nd 0.000 0.206 0.000 1
Ho1 Ho 0.000 0.000 0.383 1
Mg1 Mg 0.500 0.000 0.026 1
Mg2 Mg 0.500 0.118 0.674 1
Zn1 Zn 0.000 0.000 0.784 1
In1 In 0.500 0.163 0.295 1
# - Total moment: 0.01 μB per formula unit
# - DFT total energy: -3.20 eV/atom